Entry 1:
DyP | PBEsol | relaxed

Geometry as extended XYZ:
```
2
Lattice="-0.800 -2.073 3.269 2.811 -2.225 1.667 1.581 1.077 3.460" Properties=species:S:1:pos:R:3 pbc="T T T"
P 1.795 -1.611 4.198
Dy 0.000 0.000 0.000
```

Computed properties:
ΔH_f (0 K): -1.6356 eV per atom
electronic total energy: -7.0206 eV/atom
ρ: 7.35 g/cm³


Entry 2:
MgZn2Au | PBEsol | relaxed

Geometry as extended XYZ:
```
4
Lattice="2.981 0.000 -0.030 0.000 4.217 0.000 -1.486 0.000 5.208" Properties=species:S:1:pos:R:3 pbc="T T T"
Zn 2.795 0.000 0.200
Zn 1.297 2.108 1.153
Au 1.305 0.000 2.680
Mg -0.173 2.108 3.705
```

Computed properties:
ΔH_f (0 K): -0.2270 eV per atom
electronic total energy: -2.4282 eV/atom
ρ: 8.95 g/cm³


Entry 3:
Te2MoIrN | PBEsol | relaxed

Geometry as extended XYZ:
```
5
Lattice="3.621 0.000 0.000 0.000 5.351 0.000 0.000 0.000 5.351" Properties=species:S:1:pos:R:3 pbc="T T T"
Mo 1.810 2.675 2.675
Ir 0.000 0.000 0.000
Te 0.000 0.000 2.675
Te 0.000 2.675 0.000
N 1.810 0.000 0.000
```

Computed properties:
electronic total energy: -6.6540 eV/atom
ρ: 8.93 g/cm³


Entry 4:
ZrTc2Rh | PBEsol | relaxed

Geometry as extended XYZ:
```
4
Lattice="-1.216 1.566 2.013 -2.349 -3.967 1.010 3.380 -1.237 3.004" Properties=species:S:1:pos:R:3 pbc="T T T"
Rh 1.082 0.164 2.509
Tc -0.965 -0.530 0.868
Tc -2.601 -1.871 2.155
Zr 0.515 -2.602 2.007
```

Computed properties:
ΔH_f (0 K): 0.0059 eV per atom
electronic total energy: -9.9343 eV/atom
ρ: 10.41 g/cm³